1.
Compound: Ta2RuRh
Source: the Alexandria database
Functional: GGA-PBEsol
Structure: relaxed

a b c (Å): 2.9005 4.4800 4.8414
angles (deg): 90.00 96.98 90.00
Last column: nearest neighbours and their distance in Å.
Element x y z (fractional)
Ru: 0.4162 0.5000 0.8191  7 Ta 2.56-2.81
Rh: 0.3364 0.0000 0.4391  7 Ta 2.64-2.75, 2 Ru 2.89, 2 Rh 2.90
Ta: 0.9482 0.0000 0.9166  3 Rh 2.64-2.74, 4 Ru 2.69-2.73, 2 Ta 2.90
Ta: 0.7993 0.5000 0.3252  3 Ru 2.56-2.81, 4 Rh 2.70-2.75

Properties
calculated density	15.05	g cm⁻³
V	62.4	Å³/f.u.
energy	-11.195	eV/atom
energy relative to the elements	-0.3415	eV per atom
DOS at the Fermi energy	3.19	states/eV/f.u.
spin magnetization	0.0	Bohr magnetons per cell

2.
Compound: Ta2RuRh
Source: the Alexandria database
Functional: GGA-PBEsol
Structure: relaxed

a b c (Å): 4.4311 4.4311 4.4311
angles (deg): 60.00 60.00 60.00
Last column: nearest neighbours and their distance in Å.
Element x y z (fractional)
Rh: 0.5000 0.5000 0.5000  4 Ta 2.71, 4 Ru 2.71
Ru: 0.2500 0.2500 0.2500  4 Ta 2.71, 4 Rh 2.71
Ta: 0.0000 0.0000 0.0000  4 Ru 2.71, 4 Ta 2.71
Ta: 0.7500 0.7500 0.7500  4 Rh 2.71, 4 Ta 2.71

Properties
calculated density	15.27	g cm⁻³
V	61.5	Å³/f.u.
energy	-10.940	eV/atom
energy relative to the elements	-0.0864	eV per atom
DOS at the Fermi energy	6.52	states/eV/f.u.
spin magnetization	0.0	Bohr magnetons per cell

3.
Compound: Ta2RuRh
Source: the Alexandria database
Functional: GGA-PBEsol
Structure: relaxed

a b c (Å): 2.9465 3.6082 5.8151
angles (deg): 90.00 90.01 90.00
Last column: nearest neighbours and their distance in Å.
Element x y z (fractional)
Ru: 0.5000 0.5000 0.5000  8 Ta 2.74, 2 Rh 2.91, 2 Ru 2.95
Rh: 0.5000 0.5000 0.0000  8 Ta 2.75-2.76, 2 Ru 2.91, 2 Rh 2.95
Ta: 0.9997 0.0000 0.7469  4 Ru 2.74, 4 Rh 2.75-2.76, 4 Ta 2.87-2.95
Ta: 0.0003 0.0000 0.2531  4 Ru 2.74, 4 Rh 2.75-2.76, 4 Ta 2.87-2.95

Properties
calculated density	15.20	g cm⁻³
V	61.8	Å³/f.u.
energy	-11.198	eV/atom
energy relative to the elements	-0.3444	eV per atom
DOS at the Fermi energy	3.89	states/eV/f.u.
spin magnetization	0.0	Bohr magnetons per cell

4.
Compound: Ta2RuRh
Source: the Alexandria database
Functional: GGA-PBEsol
Structure: relaxed

a b c (Å): 4.1377 4.6460 4.1377
angles (deg): 63.56 90.00 116.44
Last column: nearest neighbours and their distance in Å.
Element x y z (fractional)
Ru: 0.0000 0.0000 0.0000  8 Ta 2.75, 4 Rh 2.93
Rh: 0.5000 0.0000 0.5000  8 Ta 2.75, 4 Ru 2.93
Ta: 0.2500 0.5000 0.2500  4 Ru 2.75, 4 Rh 2.75, 4 Ta 2.93
Ta: 0.7500 0.5000 0.7500  4 Ru 2.75, 4 Rh 2.75, 4 Ta 2.93

Properties
calculated density	15.21	g cm⁻³
V	61.8	Å³/f.u.
energy	-11.205	eV/atom
energy relative to the elements	-0.3520	eV per atom
DOS at the Fermi energy	4.10	states/eV/f.u.
spin magnetization	0.0	Bohr magnetons per cell

5.
Compound: TaRuRh
Source: the Alexandria database
Functional: GGA-PBEsol
Structure: relaxed

a b c (Å): 4.1923 4.1923 4.1923
angles (deg): 60.00 60.00 60.00
Last column: nearest neighbours and their distance in Å.
Element x y z (fractional)
Rh: 0.7500 0.7500 0.7500  4 Ta 2.57, 4 Ru 2.57
Ru: 0.0000 0.0000 0.0000  4 Rh 2.57
Ta: 0.5000 0.5000 0.5000  4 Rh 2.57

Properties
calculated density	12.27	g cm⁻³
V	52.1	Å³/f.u.
energy	-9.793	eV/atom
energy relative to the elements	0.4948	eV per atom
DOS at the Fermi energy	5.01	states/eV/f.u.
spin magnetization	0.0	Bohr magnetons per cell

6.
Compound: Ta2RuRh
Source: the Alexandria database
Functional: GGA-PBEsol
Structure: relaxed

a b c (Å): 2.9287 2.9287 7.2172
angles (deg): 90.00 90.00 90.00
Last column: nearest neighbours and their distance in Å.
Element x y z (fractional)
Ru: 0.5000 0.5000 0.5000  8 Ta 2.71, 4 Ru 2.93
Rh: 0.5000 0.5000 0.0000  8 Ta 2.78, 4 Rh 2.93
Ta: 0.0000 0.0000 0.7425  4 Ru 2.71, 4 Rh 2.78, 4 Ta 2.93
Ta: 0.0000 0.0000 0.2575  4 Ru 2.71, 4 Rh 2.78, 4 Ta 2.93

Properties
calculated density	15.18	g cm⁻³
V	61.9	Å³/f.u.
energy	-11.202	eV/atom
energy relative to the elements	-0.3486	eV per atom
DOS at the Fermi energy	3.89	states/eV/f.u.
spin magnetization	0.0	Bohr magnetons per cell

7.
Compound: TaRuRh
Source: the Alexandria database
Functional: GGA-PBEsol
Structure: relaxed

a b c (Å): 3.1110 3.1110 5.2098
angles (deg): 107.37 107.37 90.00
Last column: nearest neighbours and their distance in Å.
Element x y z (fractional)
Rh: 0.9874 0.9874 0.9747  4 Ta 2.65, 5 Ru 2.87-2.88
Ru: 0.6819 0.6819 0.3638  4 Ta 2.61, 5 Rh 2.87-2.88
Ta: 0.3307 0.3307 0.6615  4 Ru 2.61, 4 Rh 2.65

Properties
calculated density	13.98	g cm⁻³
V	45.7	Å³/f.u.
energy	-10.431	eV/atom
energy relative to the elements	-0.1441	eV per atom
DOS at the Fermi energy	3.15	states/eV/f.u.
spin magnetization	0.0	Bohr magnetons per cell

8.
Compound: Tb2RuRh
Source: the Alexandria database
Functional: GGA-PBEsol
Structure: relaxed

a b c (Å): 4.7587 4.7587 4.7587
angles (deg): 60.00 60.00 60.00
Last column: nearest neighbours and their distance in Å.
Element x y z (fractional)
Tb: 0.2500 0.2500 0.2500  4 Ru 2.91, 4 Rh 2.91
Tb: 0.7500 0.7500 0.7500  4 Ru 2.91, 4 Rh 2.91
Rh: 0.5000 0.5000 0.5000  8 Tb 2.91
Ru: 0.0000 0.0000 0.0000  8 Tb 2.91

Properties
calculated density	11.37	g cm⁻³
V	76.2	Å³/f.u.
energy	-7.616	eV/atom
energy relative to the elements	-0.5330	eV per atom
DOS at the Fermi energy	2.20	states/eV/f.u.
spin magnetization	0.0	Bohr magnetons per cell

The highest energy belongs to which entry?
Tb2RuRh

spin magnetization of number 3 (Ta2RuRh)?
0.0 Bohr magnetons per cell